# FeP2Pb | Alexandria via LeMat-Bulk | GGA-PBE | relaxed
data_FeP2Pb
_cell_length_a 3.240
_cell_length_b 5.586
_cell_length_c 8.320
_cell_angle_alpha 90.00
_cell_angle_beta 90.00
_cell_angle_gamma 90.00
_space_group_name_H-M_alt 'I m m 2'
_space_group_IT_number 44
_space_group_name_Hall 'I 2 -2'
loop_
_atom_site_label
_atom_site_fract_x
_atom_site_fract_y
_atom_site_fract_z
_atom_site_occupancy
Fe1 0.000 0.000 0.000 1
P1 0.000 0.000 0.388 1
P2 0.000 0.500 0.696 1
Pb1 0.000 0.500 0.203 1
# - energy of formation from the pure elements (eV per atom) = 0.51
# - total magnetization (Bohr magnetons per cell) = 5.5

=====

# PmSnIrPd | Alexandria via LeMat-Bulk | GGA-PBE | relaxed
data_PmSnIrPd
_cell_length_a 6.838
_cell_length_b 6.838
_cell_length_c 6.838
_cell_angle_alpha 90.00
_cell_angle_beta 90.00
_cell_angle_gamma 90.00
_space_group_name_H-M_alt 'F -4 3 m'
_space_group_IT_number 216
_space_group_name_Hall 'F -4 2 3'
loop_
_atom_site_label
_atom_site_fract_x
_atom_site_fract_y
_atom_site_fract_z
_atom_site_occupancy
Pm1 0.000 0.000 0.000 1
Sn1 0.000 0.000 0.500 1
Ir1 0.250 0.250 0.750 1
Pd1 0.250 0.250 0.250 1
# - energy of formation from the pure elements (eV per atom) = -0.59
# - total magnetization (Bohr magnetons per cell) = 0.0

=====

# InCu4Sb | Alexandria via LeMat-Bulk | GGA-PBE | relaxed
data_InCu4Sb
_cell_length_a 7.264
_cell_length_b 7.264
_cell_length_c 7.264
_cell_angle_alpha 90.00
_cell_angle_beta 90.00
_cell_angle_gamma 90.00
_space_group_name_H-M_alt 'F -4 3 m'
_space_group_IT_number 216
_space_group_name_Hall 'F -4 2 3'
loop_
_atom_site_label
_atom_site_fract_x
_atom_site_fract_y
_atom_site_fract_z
_atom_site_occupancy
In1 0.000 0.000 0.000 1
Cu1 0.125 0.125 0.375 1
Sb1 0.250 0.250 0.750 1
# - formation energy (no corrections) (eV per atom) = 0.06
# - total magnetization (Bohr magnetons per cell) = 0.0

=====

# Sr2LiYS4 | Alexandria via LeMat-Bulk | GGA-PBE | relaxed
data_Sr2LiYS4
_cell_length_a 7.045
_cell_length_b 4.113
_cell_length_c 7.056
_cell_angle_alpha 90.00
_cell_angle_beta 108.75
_cell_angle_gamma 90.00
_space_group_name_H-M_alt 'P 1 2/m 1'
_space_group_IT_number 10
_space_group_name_Hall '-P 2y'
loop_
_atom_site_label
_atom_site_fract_x
_atom_site_fract_y
_atom_site_fract_z
_atom_site_occupancy
Sr1 0.000 0.000 0.000 1
Sr2 0.500 0.500 0.000 1
Li1 0.000 0.500 0.500 1
Y1 0.500 0.000 0.500 1
S1 0.252 0.000 0.731 1
S2 0.260 0.500 0.274 1
# - formation energy (no corrections) (eV per atom) = -1.94
# - total magnetization (Bohr magnetons per cell) = 0.0

=====

# CsLiTmS2 | Alexandria via LeMat-Bulk | GGA-PBE | relaxed
data_CsLiTmS2
_cell_length_a 7.091
_cell_length_b 14.926
_cell_length_c 6.119
_cell_angle_alpha 90.00
_cell_angle_beta 90.00
_cell_angle_gamma 90.00
_space_group_name_H-M_alt 'C m m e'
_space_group_IT_number 67
_space_group_name_Hall '-C 2a 2'
loop_
_atom_site_label
_atom_site_fract_x
_atom_site_fract_y
_atom_site_fract_z
_atom_site_occupancy
Cs1 0.000 0.250 0.222 1
Li1 0.000 0.000 0.000 1
Tm1 0.250 0.000 0.500 1
S1 0.000 0.099 0.703 1
# - formation energy (no corrections) (eV per atom) = -1.26
# - total magnetization (Bohr magnetons per cell) = 1.3

=====

# AsOs2Se | Alexandria via LeMat-Bulk | GGA-PBE | relaxed
data_AsOs2Se
_cell_length_a 4.067
_cell_length_b 4.067
_cell_length_c 7.611
_cell_angle_alpha 90.00
_cell_angle_beta 90.00
_cell_angle_gamma 90.00
_space_group_name_H-M_alt 'I -4 m 2'
_space_group_IT_number 119
_space_group_name_Hall 'I -4 -2'
loop_
_atom_site_label
_atom_site_fract_x
_atom_site_fract_y
_atom_site_fract_z
_atom_site_occupancy
As1 0.000 0.000 0.000 1
Os1 0.000 0.000 0.500 1
Os2 0.000 0.500 0.750 1
Se1 0.000 0.500 0.250 1
# - formation energy (no corrections) (eV per atom) = 0.91
# - total magnetization (Bohr magnetons per cell) = 0.0
# - polymorph energy (0 for the lowest one) (eV per formula unit) = 2.68

=====

# NdPaZnOs | Alexandria via LeMat-Bulk | GGA-PBE | relaxed
data_NdPaZnOs
_cell_length_a 7.054
_cell_length_b 7.054
_cell_length_c 7.054
_cell_angle_alpha 90.00
_cell_angle_beta 90.00
_cell_angle_gamma 90.00
_space_group_name_H-M_alt 'F -4 3 m'
_space_group_IT_number 216
_space_group_name_Hall 'F -4 2 3'
loop_
_atom_site_label
_atom_site_fract_x
_atom_site_fract_y
_atom_site_fract_z
_atom_site_occupancy
Nd1 0.000 0.000 0.000 1
Pa1 0.000 0.000 0.500 1
Zn1 0.250 0.250 0.750 1
Os1 0.250 0.250 0.250 1
# - energy of formation from the pure elements (eV per atom) = -0.04
# - total magnetization (Bohr magnetons per cell) = 0.0

=====

# GeTe2CN | Alexandria via LeMat-Bulk | GGA-PBE | relaxed
data_GeTe2CN
_cell_length_a 6.325
_cell_length_b 6.325
_cell_length_c 2.646
_cell_angle_alpha 90.00
_cell_angle_beta 90.00
_cell_angle_gamma 90.00
_space_group_name_H-M_alt 'P 4/m m m'
_space_group_IT_number 123
_space_group_name_Hall '-P 4 2'
loop_
_atom_site_label
_atom_site_fract_x
_atom_site_fract_y
_atom_site_fract_z
_atom_site_occupancy
Ge1 0.000 0.000 0.000 1
Te1 0.000 0.500 0.500 1
C1 0.500 0.500 0.500 1
N1 0.500 0.500 0.000 1
# - formation energy (no corrections) (eV per atom) = 0.91
# - total magnetization (Bohr magnetons per cell) = 0.0
# - polymorph energy (0 for the lowest one) (eV per formula unit) = 0.00

=====

Which formula does entry 3 have? InCu4Sb

=====

Among the records above, which one has the highest total magnetization? FeP2Pb